Entry from Alexandria via LeMat-Bulk: crystalline NbHgGeN2 at its relaxed geometry (PBE-GGA).

Cell: 4.0502 4.0502 5.6534 Å, 90.00 90.00 90.00°
Atoms (fractional coordinates):
Nb 0.0000 0.0000 0.0000
Hg 0.5000 0.5000 0.5000
Ge 0.0000 0.0000 0.5000
N 0.0000 0.5000 0.0000
N 0.5000 0.0000 0.0000

## Properties
- total moment (μB/atom) = 0.132
- electronic total energy (eV/cell) = -29.03
- density (Mg/m³) = 7.1

Entry from Alexandria via LeMat-Bulk: crystalline Nd4HgGeN at its relaxed geometry (PBE-GGA).

Cell: 8.5715 8.5715 6.9269 Å, 90.00 90.00 132.32°
Atoms (fractional coordinates):
Nd 0.0000 0.5000 0.0000
Nd 0.0000 0.5000 0.5000
Nd 0.0769 0.9231 0.7500
Nd 0.4183 0.5817 0.7500
Nd 0.5000 0.0000 0.0000
Nd 0.5000 0.0000 0.5000
Nd 0.5817 0.4183 0.2500
Nd 0.9231 0.0769 0.2500
Hg 0.3856 0.6144 0.2500
Hg 0.6144 0.3856 0.7500
Ge 0.1169 0.8831 0.2500
Ge 0.8831 0.1169 0.7500
N 0.2518 0.7482 0.7500
N 0.7482 0.2518 0.2500

## Properties
- total moment (μB/atom) = 0.000
- electronic total energy (eV/cell) = -74.93
- density (Mg/m³) = 7.6

Entry from Alexandria via LeMat-Bulk: crystalline HgGeN2O at its relaxed geometry (PBE-GGA).

Cell: 3.9736 3.9736 3.7811 Å, 90.00 90.00 90.00°
Atoms (fractional coordinates):
Hg 0.0000 0.0000 0.0000
Ge 0.5000 0.5000 0.5000
N 0.0000 0.5000 0.5000
N 0.5000 0.0000 0.5000
O 0.5000 0.5000 0.0000

## Properties
- total moment (μB/atom) = 0.441
- electronic total energy (eV/cell) = -22.28
- density (Mg/m³) = 8.8

Entry from Alexandria via LeMat-Bulk: crystalline HgGeN2O at its relaxed geometry (PBE-GGA).

Cell: 4.2317 4.2317 4.3285 Å, 90.00 90.00 90.00°
Atoms (fractional coordinates):
Hg 0.0000 0.0000 0.0000
Ge 0.5000 0.5000 0.5000
N 0.0000 0.5000 0.0000
N 0.5000 0.0000 0.0000
O 0.0000 0.0000 0.5000

## Properties
- total moment (μB/atom) = 0.473
- electronic total energy (eV/cell) = -17.43
- density (Mg/m³) = 6.8

Entry from Alexandria via LeMat-Bulk: crystalline Pm4HgGeN at its relaxed geometry (PBE-GGA).

Cell: 8.5146 8.5146 6.8564 Å, 90.00 90.00 132.49°
Atoms (fractional coordinates):
Pm 0.0000 0.5000 0.0000
Pm 0.0000 0.5000 0.5000
Pm 0.0776 0.9224 0.7500
Pm 0.4183 0.5817 0.7500
Pm 0.5000 0.0000 0.0000
Pm 0.5000 0.0000 0.5000
Pm 0.5817 0.4183 0.2500
Pm 0.9224 0.0776 0.2500
Hg 0.3859 0.6141 0.2500
Hg 0.6141 0.3859 0.7500
Ge 0.1166 0.8834 0.2500
Ge 0.8834 0.1166 0.7500
N 0.2506 0.7494 0.7500
N 0.7494 0.2506 0.2500

## Properties
- total moment (μB/atom) = 0.000
- electronic total energy (eV/cell) = -75.23
- density (Mg/m³) = 7.9

Entry from Alexandria via LeMat-Bulk: crystalline HgGePt2N at its relaxed geometry (PBE-GGA).

Cell: 4.2965 4.2965 4.3743 Å, 90.00 90.00 90.00°
Atoms (fractional coordinates):
Hg 0.0000 0.0000 0.0000
Ge 0.5000 0.5000 0.0000
Pt 0.0000 0.5000 0.5000
Pt 0.5000 0.0000 0.5000
N 0.5000 0.5000 0.5000

## Properties
- total moment (μB/atom) = 0.000
- electronic total energy (eV/cell) = -22.66
- density (Mg/m³) = 13.9

Entry from Alexandria via LeMat-Bulk: crystalline HgGeS2N at its relaxed geometry (PBE-GGA).

Cell: 4.9845 4.9845 3.6128 Å, 90.00 90.00 90.00°
Atoms (fractional coordinates):
Hg 0.0000 0.0000 0.0000
Ge 0.5000 0.5000 0.5000
S 0.0000 0.5000 0.5000
S 0.5000 0.0000 0.5000
N 0.5000 0.5000 0.0000

## Properties
- total moment (μB/atom) = 0.000
- ΔE to the lowest computed polymorph (eV per atom) = 0.000
- density (Mg/m³) = 6.5

Entry from Alexandria via LeMat-Bulk: crystalline HgGeS2N at its relaxed geometry (PBE-GGA).

Cell: 5.1392 5.1392 4.1225 Å, 90.00 90.00 90.00°
Atoms (fractional coordinates):
Hg 0.0000 0.0000 0.0000
Ge 0.5000 0.5000 0.5000
S 0.0000 0.5000 0.0000
S 0.5000 0.0000 0.0000
N 0.0000 0.0000 0.5000

## Properties
- total moment (μB/atom) = 0.393
- ΔE to the lowest computed polymorph (eV per atom) = 0.525
- density (Mg/m³) = 5.4